Record 1
First-principles (PBE-GGA) data for an optimized crystal structure of SrMg3Pd2, as listed in the Alexandria database.

The formation energy comes out at -506.2 meV/atom. The crystal system is monoclinic.

It has space group C2/m (No. 12), with a = 16.411 Å, b = 4.438 Å, c = 8.532 Å, α = 90.00°, β = 116.76° and γ = 90.00°. Symmetry generates all atoms from Sr at (0.148, 0.000, 0.072), Mg at (0.037, 0.000, 0.360), Mg at (0.101, 0.500, 0.695), Mg at (0.182, 0.500, 0.447), Pd at (0.016, 0.500, 0.169) and Pd at (0.186, 0.000, 0.665).

***

Record 2
First-principles (PBE-GGA) data for an optimized crystal structure of SrMg2Pd2, as listed in the Alexandria database.

The formation energy comes out at -515.0 meV/atom. The crystal system is tetragonal.

It has space group P4/mbm (No. 127), with a = 8.049 Å, b = 8.049 Å, c = 3.195 Å, α = 90.00°, β = 90.00° and γ = 90.00°. Symmetry generates all atoms from Sr at (0.000, 0.000, 0.000), Mg at (0.132, 0.368, 0.500) and Pd at (0.158, 0.658, 0.000).

***

Record 3
First-principles (PBE-GGA) data for an optimized crystal structure of SrMgPd3, as listed in the Alexandria database.

The formation energy comes out at -238.3 meV/atom. The crystal system is cubic.

It has space group Pm-3m (No. 221), with a = 4.806 Å, b = 4.806 Å, c = 4.806 Å, α = 90.00°, β = 90.00° and γ = 90.00°. Symmetry generates all atoms from Sr at (0.000, 0.000, 0.000), Mg at (0.500, 0.500, 0.500) and Pd at (0.000, 0.500, 0.500).

***

Record 4
First-principles (PBE-GGA) data for an optimized crystal structure of SrMg2Pd2, as listed in the Alexandria database.

The formation energy comes out at -555.1 meV/atom. The crystal system is tetragonal.

It has space group I4/mmm (No. 139), with a = 4.571 Å, b = 4.571 Å, c = 21.834 Å, α = 90.00°, β = 90.00° and γ = 90.00°. Symmetry generates all atoms from Sr at (0.000, 0.000, 0.133), Mg at (0.000, 0.000, 0.310), Mg at (0.000, 0.500, 0.000), Pd at (0.000, 0.000, 0.433) and Pd at (0.000, 0.500, 0.250).

***

Record 5
First-principles (PBE-GGA) data for an optimized crystal structure of SrMgPd2, as listed in the Alexandria database.

The formation energy comes out at -482.6 meV/atom. The crystal system is tetragonal.

It has space group P4/mmm (No. 123), with a = 4.930 Å, b = 4.930 Å, c = 3.447 Å, α = 90.00°, β = 90.00° and γ = 90.00°. Symmetry generates all atoms from Sr at (0.000, 0.000, 0.000), Mg at (0.500, 0.500, 0.000) and Pd at (0.000, 0.500, 0.500).

***

Record 6
First-principles (PBE-GGA) data for an optimized crystal structure of SrMg2Pd2, as listed in the Alexandria database.

The formation energy comes out at -593.4 meV/atom. The crystal system is tetragonal.

It has space group I4/mmm (No. 139), with a = 4.348 Å, b = 4.348 Å, c = 11.933 Å, α = 90.00°, β = 90.00° and γ = 90.00°. Symmetry generates all atoms from Sr at (0.000, 0.000, 0.000), Mg at (0.000, 0.500, 0.250) and Pd at (0.000, 0.000, 0.386).

***

Record 7
First-principles (PBE-GGA) data for an optimized crystal structure of Sr3Mg7Pd4, as listed in the Alexandria database.

The formation energy comes out at -478.2 meV/atom. The crystal system is monoclinic.

It has space group C2/m (No. 12), with a = 17.047 Å, b = 4.437 Å, c = 10.764 Å, α = 90.00°, β = 124.97° and γ = 90.00°. Symmetry generates all atoms from Sr at (0.000, 0.000, 0.000), Sr at (0.192, 0.500, 0.704), Mg at (0.000, 0.000, 0.500), Mg at (0.011, 0.500, 0.287), Mg at (0.169, 0.000, 0.426), Mg at (0.183, 0.500, 0.018), Pd at (0.109, 0.000, 0.820) and Pd at (0.166, 0.500, 0.274).

***

Record 8
First-principles (PBE-GGA) data for an optimized crystal structure of SrMg9Pd3, as listed in the Alexandria database.

The formation energy comes out at -378.8 meV/atom. The crystal system is monoclinic.

It has space group C2/m (No. 12), with a = 5.682 Å, b = 14.347 Å, c = 7.247 Å, α = 90.00°, β = 111.34° and γ = 90.00°. Symmetry generates all atoms from Sr at (0.000, 0.000, 0.000), Mg at (0.000, 0.000, 0.500), Mg at (0.092, 0.385, 0.220), Mg at (0.157, 0.179, 0.328), Pd at (0.000, 0.500, 0.500) and Pd at (0.250, 0.250, 0.000).

***

no.,VASP energy (eV/cell)
1,-79.555
2,-35.663
3,-20.047
4,-72.128
5,-15.592
6,-36.447
7,-87.348
8,-73.071